Below is a relaxed Lu2ZnCu crystal, with properties calculated at the GGA-PBE level.

a b c (Å): 6.813 6.813 6.813
angles (deg): 90.00 90.00 90.00
Space group F-43m (No. 216)
Unique sites:
1 Lu 0.000 0.000 0.000
2 Lu 0.250 0.250 0.250
3 Zn 0.250 0.250 0.750
4 Cu 0.000 0.000 0.500

Theoretical density   10.06 g cm⁻³
Energy of formation   0.087 eV/atom
Calculated total energy   -3.4202 eV per atom